Entry 1:
Pa2MoOs PBE relaxed; DFT formation energy = -31 meV per atom; symmetry = No. 123; distance to the lowest polymorph of the same formula = 0.000 eV/atom; V = 82.9 Å³ per cell; VASP energy = -41.2 eV/cell
1.0
3.529 0.000 0.000
0.000 3.529 0.000
0.000 0.000 6.657
Mo Pa Os
1 2 1
direct
0.500 0.500 0.500 Mo
0.000 0.000 0.760 Pa
0.000 0.000 0.240 Pa
0.500 0.500 0.000 Os


Entry 2:
Nd5Er4Tm3 PBE relaxed; DFT formation energy = 250 meV per atom; symmetry = No. 12; V = 395.2 Å³ per cell; VASP energy = -52.5 eV/cell
1.0
5.942 0.000 0.000
2.971 7.661 -2.318
2.971 -1.334 9.086
Tm Er Nd
3 4 5
direct
0.000 0.500 0.500 Tm
0.373 0.054 0.200 Tm
0.627 0.946 0.800 Tm
0.136 0.782 0.946 Er
0.864 0.218 0.054 Er
0.836 0.953 0.376 Er
0.164 0.047 0.624 Er
0.783 0.548 0.885 Nd
0.521 0.687 0.272 Nd
0.479 0.313 0.728 Nd
0.217 0.452 0.115 Nd
0.500 0.500 0.500 Nd


Entry 3:
FeHgBiPt PBE relaxed; DFT formation energy = 138 meV per atom; symmetry = No. 6; distance to the lowest polymorph of the same formula = 0.026 eV/atom; V = 85.6 Å³ per cell; VASP energy = -18.1 eV/cell
1.0
3.058 0.000 0.001
0.000 3.342 0.000
-0.008 0.000 8.377
Pt Hg Bi Fe
1 1 1 1
direct
0.153 0.000 0.632 Pt
0.154 0.000 0.999 Hg
0.159 0.500 0.349 Bi
0.653 0.500 0.781 Fe


Entry 4:
Ti3TlGa PBE relaxed; DFT formation energy = -107 meV per atom; symmetry = No. 12; distance to the lowest polymorph of the same formula = 0.000 eV/atom; V = 180.3 Å³ per cell; VASP energy = -59.2 eV/cell
1.0
3.850 0.000 0.000
-1.925 5.038 0.160
0.000 -0.483 9.279
Ti Tl Ga
6 2 2
direct
0.450 0.900 0.168 Ti
0.062 0.124 0.361 Ti
0.550 0.100 0.832 Ti
0.770 0.540 0.277 Ti
0.938 0.876 0.639 Ti
0.230 0.460 0.723 Ti
0.149 0.298 0.061 Tl
0.851 0.702 0.939 Tl
0.637 0.274 0.551 Ga
0.363 0.726 0.449 Ga


Entry 5:
NdI2O6 PBE relaxed; symmetry = No. 15; distance to the lowest polymorph of the same formula = 0.000 eV/atom; uncorrected formation energy = -1.007 eV per atom; V = 345.0 Å³ per cell; VASP energy = -93.4 eV/cell
1.0
7.457 0.067 2.764
3.186 6.740 -0.193
0.470 -1.282 7.331
I O Nd
4 12 2
direct
0.315 0.545 0.733 I
0.815 0.733 0.545 I
0.185 0.267 0.455 I
0.685 0.455 0.267 I
0.050 0.592 0.744 O
0.450 0.256 0.408 O
0.842 0.193 0.045 O
0.658 0.955 0.807 O
0.550 0.744 0.592 O
0.203 0.109 0.621 O
0.950 0.408 0.256 O
0.342 0.045 0.193 O
0.797 0.891 0.379 O
0.158 0.807 0.955 O
0.703 0.621 0.109 O
0.297 0.379 0.891 O
0.250 0.086 0.914 Nd
0.750 0.914 0.086 Nd


Entry 6:
Tb3Pr8Th PBE relaxed; DFT formation energy = 571 meV per atom; symmetry = No. 121; V = 465.0 Å³ per cell; VASP energy = -52.7 eV/cell
1.0
-3.408 6.688 -4.212
-5.083 -4.326 5.434
5.980 1.647 5.968
Pr Th Tb
8 1 3
direct
0.508 0.263 0.263 Pr
0.000 0.246 0.737 Pr
0.246 0.373 0.373 Pr
0.754 0.127 0.127 Pr
0.000 0.627 0.873 Pr
0.492 0.754 0.754 Pr
0.000 0.737 0.246 Pr
0.000 0.873 0.627 Pr
0.000 0.000 0.000 Th
0.000 0.500 0.500 Tb
0.500 0.750 0.250 Tb
0.500 0.250 0.750 Tb